{
  "formula": "RbSiAu3",
  "functional": "PBE",
  "state": "optimized geometry",
  "e_form_raw_ev_per_atom": -0.260,
  "space_group": "R3m",
  "cell": [[3.446, 1.989, 2.937], [-3.446, 1.989, 2.937], [0.000, -3.979, 2.937]],
  "species": ["Rb", "Si", "Au", "Au", "Au"],
  "fractional_positions": [[0.000, 0.000, 0.000], [0.585, 0.585, 0.585], [0.071, 0.499, 0.499], [0.499, 0.071, 0.499], [0.499, 0.499, 0.071]]
}

---

{
  "formula": "MgTaTi2C",
  "functional": "PBE",
  "state": "optimized geometry",
  "e_form_ev_per_fu": -1.21,
  "space_group": "P4/mmm",
  "cell": [[4.261, 0.000, 0.000], [0.000, 4.261, 0.000], [0.000, 0.000, 4.317]],
  "species": ["Mg", "Ta", "Ti", "Ti", "C"],
  "fractional_positions": [[0.000, 0.000, 0.000], [0.500, 0.500, 0.000], [0.000, 0.500, 0.500], [0.500, 0.000, 0.500], [0.500, 0.500, 0.500]]
}

---

{
  "formula": "K6RbHg6",
  "functional": "PBE",
  "state": "optimized geometry",
  "e_form_ev_per_fu": -2.24,
  "space_group": "Immm",
  "cell": [[-3.487, 5.978, 6.319], [3.487, -5.978, 6.319], [3.487, 5.978, -6.319]],
  "species": ["K", "K", "K", "K", "K", "K", "Rb", "Hg", "Hg", "Hg", "Hg", "Hg", "Hg"],
  "fractional_positions": [[0.155, 0.155, 0.000], [0.178, 0.500, 0.678], [0.322, 0.822, 0.500], [0.678, 0.178, 0.500], [0.822, 0.500, 0.322], [0.845, 0.845, 0.000], [0.500, 0.500, 0.000], [0.000, 0.000, 0.500], [0.000, 0.500, 0.000], [0.265, 0.000, 0.265], [0.500, 0.000, 0.000], [0.500, 0.500, 0.500], [0.735, 0.000, 0.735]]
}

---

{
  "formula": "RbReSN2",
  "functional": "PBE",
  "state": "optimized geometry",
  "e_form_raw_ev_per_atom": 3.311,
  "space_group": "P4/mmm",
  "cell": [[4.147, 0.000, 0.000], [0.000, 4.147, 0.000], [0.000, 0.000, 6.177]],
  "species": ["Rb", "Re", "S", "N", "N"],
  "fractional_positions": [[0.000, 0.000, 0.000], [0.500, 0.500, 0.500], [0.000, 0.000, 0.500], [0.000, 0.500, 0.000], [0.500, 0.000, 0.000]]
}

---

no.,final energy (Ha/atom)
1,-0.129
2,-0.292
3,-0.033
4,-0.130